(1)
VASP calculation (PBE-GGA) on a geometry-optimized SmTm3Pb2 structure.

Its total energy is -104.96 eV per cell. The volume is 799 Å³/cell.

The structure belongs to space group Ibam (No. 72); the cell edges are 7.442, 14.521 and 7.391 Å and the angles 90.00°, 90.00° and 90.00°. Symmetry generates all atoms from Sm at (0.000, 0.000, 0.000), Tm at (0.000, 0.209, 0.250), Tm at (0.000, 0.500, 0.250) and Pb at (0.178, 0.356, 0.000).


(2)
VASP calculation (PBE-GGA) on a geometry-optimized PmTiCdIn structure.

Its total energy is -67.11 eV per cell. The volume is 377 Å³/cell.

The structure belongs to space group F-43m (No. 216); the cell edges are 7.222, 7.222 and 7.222 Å and the angles 90.00°, 90.00° and 90.00°. Symmetry generates all atoms from Pm at (0.000, 0.000, 0.000), Ti at (0.000, 0.000, 0.500), Cd at (0.250, 0.250, 0.250) and In at (0.250, 0.250, 0.750).


(3)
VASP calculation (PBE-GGA) on a geometry-optimized Rb3TbNd2Te6 structure.

Its total energy is -105.48 eV per cell. The volume is 948 Å³/cell. The value obtained for the uncorrected formation energy is -16.82 eV/f.u.

The structure belongs to space group C2/m (No. 12); the cell edges are 7.993, 13.845 and 8.974 Å and the angles 90.00°, 107.28° and 90.00°. Symmetry generates all atoms from Rb at (0.000, 0.000, 0.000), Rb at (0.000, 0.332, 0.000), Tb at (0.000, 0.500, 0.500), Nd at (0.000, 0.166, 0.500), Te at (0.231, 0.336, 0.703) and Te at (0.241, 0.000, 0.704).


(4)
VASP calculation (PBE-GGA) on a geometry-optimized ErCu4Ge2 structure.

Its total energy is -96.89 eV per cell. The volume is 327 Å³/cell. The energy relative to the lowest polymorph listed for this composition is 0.021 eV per atom.

The structure belongs to space group R-3m (No. 166, hexagonal axes); the cell edges are 4.1367, 4.1367 and 22.0824 Å and the angles 90.00°, 90.00° and 120.00°. Symmetry generates all atoms from Er at (0.0000, 0.0000, 0.0000), Cu at (0.0000, 0.0000, 0.1407), Cu at (0.0000, 0.0000, 0.4360) and Ge at (0.0000, 0.0000, 0.2540).